(1)
Below is crystalline FeHPdPt2 at its relaxed geometry, with properties calculated at the PBE level.

Cell lengths 3.970, 3.970, 4.002 Å; angles 90.00, 90.00, 90.00 degrees
Space group P4/mmm (No. 123)
Asymmetric unit:
Fe1 0.000 0.000 0.000
H1 0.500 0.500 0.500
Pd1 0.500 0.500 0.000
Pt1 0.000 0.500 0.500

Computed properties:
E above lowest polymorph: 0.00 eV/f.u.



(2)
Below is crystalline Sr2CePuO6 at its relaxed geometry, with properties calculated at the PBE level.

Cell lengths 6.026, 6.171, 10.507 Å; angles 90.00, 124.94, 90.00 degrees
Space group P2_1/c (No. 14)
Asymmetric unit:
Sr1 0.238 0.045 0.251
Ce1 0.500 0.000 0.000
Pu1 0.000 0.000 0.500
O1 0.142 0.208 0.943
O2 0.238 0.701 0.946
O3 0.349 0.042 0.746

Computed properties:
uncorrected formation energy: -3.103 eV per atom



(3)
Below is crystalline ReSbRu2 at its relaxed geometry, with properties calculated at the PBE level.

Cell lengths 2.938, 3.955, 5.522 Å; angles 90.00, 90.00, 90.00 degrees
Space group Pmm2 (No. 25)
Asymmetric unit:
Re1 0.000 0.000 0.000
Sb1 0.500 0.500 0.686
Ru1 0.000 0.000 0.477
Ru2 0.500 0.500 0.176

Computed properties:
uncorrected formation energy: 0.339 eV per atom



(4)
Below is crystalline La2Pr3Y6 at its relaxed geometry, with properties calculated at the PBE level.

Cell lengths 5.7902, 5.7902, 39.1763 Å; angles 90.00, 90.00, 120.00 degrees
Space group R-3m (No. 166, hexagonal axes)
Asymmetric unit:
La1 0.0000 0.0000 0.0445
Pr1 0.0000 0.0000 0.2309
Pr2 0.0000 0.0000 0.5000
Y1 0.0000 0.0000 0.1370
Y2 0.0000 0.0000 0.3243
Y3 0.0000 0.0000 0.4127

Computed properties:
E above lowest polymorph: 0.00 eV/f.u.
formation enthalpy at 0 K: 94 meV/atom



(5)
Below is crystalline Ba2CaInH at its relaxed geometry, with properties calculated at the PBE level.

Cell lengths 5.754, 5.754, 4.990 Å; angles 90.00, 90.00, 90.00 degrees
Space group P4/mmm (No. 123)
Asymmetric unit:
Ba1 0.000 0.500 0.000
Ca1 0.000 0.000 0.500
In1 0.500 0.500 0.500
H1 0.500 0.500 0.000

Computed properties:
E above lowest polymorph: 0.53 eV/f.u.



(6)
Below is crystalline Zn2AsAu2 at its relaxed geometry, with properties calculated at the PBE level.

Cell lengths 7.799, 7.799, 2.892 Å; angles 90.00, 90.00, 90.00 degrees
Space group P4/mbm (No. 127)
Asymmetric unit:
Zn1 0.150 0.350 0.000
As1 0.000 0.000 0.500
Au1 0.149 0.649 0.500

Computed properties:
E above lowest polymorph: 0.00 eV/f.u.
formation enthalpy at 0 K: -36 meV/atom



Which total magnetic moment belongs to each record? In order, 0.860, 0.404, 0.000, 0.000, 0.000, 0.000 μB/atom.
Which DFT total energy belongs to each record? In order, -5.87, -8.44, -8.44, -5.63, -2.58, -2.79 eV per atom.